First-principles (PBE-GGA) data for a relaxed structure of Mg2FeHIr, as listed in Alexandria via LeMat-Bulk.

a b c (Å): 4.2938 4.2938 3.3700
angles (deg): 90.00 90.00 90.00
Sites, in units of the cell vectors:
H 0.0000 0.0000 0.0000
Mg 0.0000 0.5000 0.0000
Mg 0.5000 0.0000 0.0000
Ir 0.5000 0.5000 0.5000
Fe 0.0000 0.0000 0.5000

Properties
Calculated volume, Å³/atom: 12.426
Crystal system: tetragonal
Density of states at the Fermi level, states/eV/cell: 4.12
Total DFT energy (no corrections), eV/atom: -4.83
Symmetry: No. 123